A relaxed structure of KAsSe4, computed with PBE.

It has space group P-1 (No. 2), with a = 6.5995 Å, b = 6.6409 Å, c = 8.6429 Å, α = 112.54°, β = 106.31° and γ = 90.02°. The distinct sites, in fractional coordinates, are K at (0.2501, 0.2454, 0.9999), As at (0.0000, 0.5000, 0.5000), As at (0.5000, 0.0000, 0.5000), Se at (0.1340, 0.9270, 0.5842), Se at (0.2365, 0.6523, 0.8416), Se at (0.2634, 0.8108, 0.1582) and Se at (0.3659, 0.3431, 0.4158).

As for the uncorrected formation energy: -0.2668 eV/atom. As for the crystal system: triclinic. The calculation puts the polymorph energy (0 for the lowest one) at 0.0 kJ per mole of atoms.

***

A relaxed structure of CrReSb2, computed with PBE.

It has space group Fm-3m (No. 225), with a = 6.5323 Å, b = 6.5323 Å, c = 6.5323 Å, α = 90.00°, β = 90.00° and γ = 90.00°. The distinct sites, in fractional coordinates, are Cr at (0.0000, 0.0000, 0.0000), Re at (0.0000, 0.0000, 0.5000) and Sb at (0.2500, 0.2500, 0.2500).

As for the uncorrected formation energy: 0.5126 eV/atom. As for the crystal system: cubic. The calculation puts the polymorph energy (0 for the lowest one) at 28.1 kJ per mole of atoms.

***

A relaxed structure of Ba5NaNi, computed with PBE.

It has space group C2/c (No. 15), with a = 14.4011 Å, b = 8.4039 Å, c = 13.2275 Å, α = 90.00°, β = 113.89° and γ = 90.00°. The distinct sites, in fractional coordinates, are Ba at (0.0000, 0.0340, 0.2500), Ba at (0.1203, 0.3075, 0.0350), Ba at (0.1953, 0.1777, 0.6190), Na at (0.0000, 0.4876, 0.7500) and Ni at (0.0000, 0.0000, 0.0000).

The formation energy is 0.044 eV per atom. As for the crystal system: monoclinic.

***

no.,uncorrected energy (eV/atom)
1,-3.548
2,-7.066
3,-2.344